A plane-wave DFT calculation with GGA-PBE was carried out for an optimized crystal structure of RbAsWSe2.

Unit cell a=5.451 b=5.451 c=5.285 alpha=90.00 beta=90.00 gamma=90.00
Space group P4/mmm (No. 123)
Unique sites:
Rb  0.000  0.000  0.000 [1 per cell]
As  0.000  0.000  0.500 [1 per cell]
W  0.500  0.500  0.500 [1 per cell]
Se  0.000  0.500  0.000 [2 per cell]

The calculation puts the energy at -2.518 eV per atom. The density of states at the Fermi level is 2.35 states/eV/atom. For the spin magnetization, the calculation gives 0.2 μB per cell. Its uncorrected formation energy is 2.59 eV/atom. Its mass density is 5.31 g/cm3.